[1]
Below is a geometry-optimized TbAl3Ni2 structure, with properties calculated at the PBE-GGA level.

Cell: 6.2497 6.2497 5.1208 Å, 90.00 90.00 77.70°
Closest atoms and distances in Å follow each position.
Sites, in units of the cell vectors:
Tb: 0.1549 0.8451 0.7500  7 Al 3.08-3.20, 4 Ni 3.34
Tb: 0.8451 0.1549 0.2500  7 Al 3.08-3.20, 4 Ni 3.34
Al: 0.0319 0.5896 0.2500  4 Ni 2.37-2.54, 1 Al 2.58
Al: 0.4104 0.9681 0.2500  4 Ni 2.37-2.54, 1 Al 2.58
Al: 0.4520 0.5480 0.2500  4 Ni 2.43, 4 Al 2.58-2.67
Al: 0.5480 0.4520 0.7500  4 Ni 2.43, 4 Al 2.58-2.67
Al: 0.5896 0.0319 0.7500  4 Ni 2.37-2.54, 1 Al 2.58
Al: 0.9681 0.4104 0.7500  4 Ni 2.37-2.54, 1 Al 2.58
Ni: 0.2913 0.2913 0.0000  6 Al 2.37-2.54, 2 Ni 2.56
Ni: 0.2913 0.2913 0.5000  6 Al 2.37-2.54, 2 Ni 2.56
Ni: 0.7087 0.7087 0.0000  6 Al 2.37-2.54, 2 Ni 2.56
Ni: 0.7087 0.7087 0.5000  6 Al 2.37-2.54, 2 Ni 2.56

Values from the calculation:
Space-group type: Cmcm (63)
Calculated total energy: -62.234 eV/cell
Formation energy from the elements: -0.616 eV per atom

=====

[2]
Below is a geometry-optimized Tb3AlNi structure, with properties calculated at the PBE-GGA level.

Cell: 6.9388 5.1778 7.1029 Å, 90.00 95.04 90.00°
Closest atoms and distances in Å follow each position.
Sites, in units of the cell vectors:
Tb: 0.0000 0.0000 0.0000  1 Ni 2.60
Tb: 0.0578 0.5000 0.3330  1 Ni 2.59
Tb: 0.3120 0.0000 0.6280  1 Ni 2.69
Tb: 0.4439 0.0000 0.1683  3 Ni 2.70-2.93
Tb: 0.6117 0.5000 0.8775  3 Ni 2.60-2.75
Tb: 0.8044 0.0000 0.5308  1 Ni 2.67
Al: 0.0720 0.5000 0.7596  1 Ni 2.42
Al: 0.5317 0.5000 0.3896  1 Ni 2.84, 2 Tb 3.06
Ni: 0.2750 0.5000 0.0549  1 Al 2.42, 1 Tb 2.59
Ni: 0.6412 0.0000 0.8578  6 Tb 2.60-2.70

Values from the calculation:
Space-group type: Pm (6)
Calculated total energy: -48.932 eV/cell
Formation energy from the elements: -0.210 eV per atom

=====

[3]
Below is a geometry-optimized Tb3Al9Ni2 structure, with properties calculated at the PBE-GGA level.

Cell: 8.1298 8.1298 8.1298 Å, 149.78 104.76 83.17°
Closest atoms and distances in Å follow each position.
Sites, in units of the cell vectors:
Tb: 0.0000 0.0000 0.0000  12 Al 3.15-3.16
Tb: 0.3120 0.3120 0.0000  2 Ni 3.08, 10 Al 3.12-3.14
Tb: 0.6880 0.6880 0.0000  2 Ni 3.08, 10 Al 3.12-3.14
Al: 0.0219 0.6565 0.3654  1 Ni 2.46, 3 Al 2.61-2.67
Al: 0.1598 0.8784 0.2814  2 Ni 2.59, 4 Al 2.61-2.83
Al: 0.2911 0.6565 0.6346  1 Ni 2.46, 3 Al 2.61-2.67
Al: 0.4029 0.1216 0.2814  2 Ni 2.59, 4 Al 2.61-2.83
Al: 0.5000 0.0000 0.5000  4 Al 2.63
Al: 0.5971 0.8784 0.7186  2 Ni 2.59, 4 Al 2.61-2.83
Al: 0.7089 0.3435 0.3654  1 Ni 2.46, 3 Al 2.61-2.67
Al: 0.8402 0.1216 0.7186  2 Ni 2.59, 4 Al 2.61-2.83
Al: 0.9781 0.3435 0.6346  1 Ni 2.46, 3 Al 2.61-2.67
Ni: 0.2920 0.5000 0.7920  6 Al 2.46-2.59
Ni: 0.7080 0.5000 0.2080  6 Al 2.46-2.59

Values from the calculation:
Space-group type: Immm (71)
Calculated total energy: -66.408 eV/cell
Formation energy from the elements: -0.519 eV per atom

=====

[4]
Below is a geometry-optimized Tb3Al2Ni9 structure, with properties calculated at the PBE-GGA level.

Cell: 7.7818 7.7818 7.7818 Å, 150.48 111.80 76.02°
Closest atoms and distances in Å follow each position.
Sites, in units of the cell vectors:
Tb: 0.0000 0.0000 0.0000  4 Ni 2.83
Tb: 0.2983 0.2983 0.0000  10 Ni 2.80-3.07, 2 Al 3.07
Tb: 0.7017 0.7017 0.0000  10 Ni 2.80-3.07, 2 Al 3.07
Al: 0.2917 0.5000 0.7917  8 Ni 2.46-2.69
Al: 0.7083 0.5000 0.2083  8 Ni 2.46-2.69
Ni: 0.0270 0.6774 0.3496  4 Ni 2.39-2.62, 1 Al 2.50
Ni: 0.1610 0.8820 0.2789  4 Ni 2.39-2.58, 2 Al 2.46
Ni: 0.3277 0.6774 0.6504  4 Ni 2.39-2.62, 1 Al 2.50
Ni: 0.3969 0.1180 0.2789  4 Ni 2.39-2.58, 2 Al 2.46
Ni: 0.5000 0.0000 0.5000  4 Ni 2.41, 4 Al 2.69
Ni: 0.6031 0.8820 0.7211  4 Ni 2.39-2.58, 2 Al 2.46
Ni: 0.6723 0.3226 0.3496  4 Ni 2.39-2.62, 1 Al 2.50
Ni: 0.8390 0.1180 0.7211  4 Ni 2.39-2.58, 2 Al 2.46
Ni: 0.9730 0.3226 0.6504  4 Ni 2.39-2.62, 1 Al 2.50

Values from the calculation:
Space-group type: Immm (71)
Calculated total energy: -79.096 eV/cell
Formation energy from the elements: -0.406 eV per atom

=====

[5]
Below is a geometry-optimized Tb5AlNi2 structure, with properties calculated at the PBE-GGA level.

Cell: 8.5273 8.5273 8.5273 Å, 126.52 126.52 79.04°
Closest atoms and distances in Å follow each position.
Sites, in units of the cell vectors:
Tb: 0.0000 0.0000 0.0000  4 Ni 3.03, 2 Al 3.29
Tb: 0.0230 0.5230 0.8227  3 Ni 2.87-2.95
Tb: 0.2003 0.0230 0.5000  3 Ni 2.87-2.95
Tb: 0.2997 0.7997 0.8227  3 Ni 2.87-2.95
Tb: 0.4770 0.2997 0.5000  3 Ni 2.87-2.95
Tb: 0.5000 0.5000 0.0000  4 Ni 3.03, 2 Al 3.29
Tb: 0.5230 0.7003 0.5000  3 Ni 2.87-2.95
Tb: 0.7003 0.2003 0.1773  3 Ni 2.87-2.95
Tb: 0.7997 0.9770 0.5000  3 Ni 2.87-2.95
Tb: 0.9770 0.4770 0.1773  3 Ni 2.87-2.95
Al: 0.2500 0.2500 0.0000  10 Tb 3.23-3.29
Al: 0.7500 0.7500 0.0000  10 Tb 3.23-3.29
Ni: 0.1249 0.3751 0.5000  1 Ni 2.71, 8 Tb 2.87-3.03
Ni: 0.3751 0.8751 0.2502  1 Ni 2.71, 8 Tb 2.87-3.03
Ni: 0.6249 0.1249 0.7498  1 Ni 2.71, 8 Tb 2.87-3.03
Ni: 0.8751 0.6249 0.5000  1 Ni 2.71, 8 Tb 2.87-3.03

Values from the calculation:
Space-group type: I4/mcm (140)
Calculated total energy: -81.891 eV/cell
Formation energy from the elements: -0.311 eV per atom

=====

[6]
Below is a geometry-optimized TbAlNi4 structure, with properties calculated at the PBE-GGA level.

Cell: 5.0612 5.0612 3.8714 Å, 90.00 90.00 120.00°
Closest atoms and distances in Å follow each position.
Sites, in units of the cell vectors:
Tb: 0.0000 0.0000 0.0000  3 Al 2.92, 15 Ni 2.92-3.19
Al: 0.3333 0.6667 0.0000  6 Ni 2.44
Ni: 0.5020 0.0040 0.5000  6 Ni 2.41-2.56, 2 Al 2.44
Ni: 0.5020 0.4980 0.5000  6 Ni 2.41-2.56, 2 Al 2.44
Ni: 0.6667 0.3333 0.0000  6 Ni 2.41
Ni: 0.9960 0.4980 0.5000  6 Ni 2.41-2.56, 2 Al 2.44

Values from the calculation:
Space-group type: P-6m2 (187)
Calculated total energy: -34.288 eV/cell
Formation energy from the elements: -0.465 eV per atom

=====

[7]
Below is a geometry-optimized Tb8AlNi2 structure, with properties calculated at the PBE-GGA level.

Cell: 7.9138 7.9138 5.3157 Å, 97.95 97.95 114.28°
Closest atoms and distances in Å follow each position.
Sites, in units of the cell vectors:
Tb: 0.0751 0.3278 0.5732  2 Ni 2.84-2.91
Tb: 0.2452 0.7548 0.0000  2 Ni 2.78
Tb: 0.3278 0.0751 0.5732  2 Ni 2.84-2.91
Tb: 0.3872 0.3872 0.1920  2 Ni 3.08, 4 Tb 3.15-3.35, 1 Al 3.22
Tb: 0.6128 0.6128 0.8080  2 Ni 3.08, 4 Tb 3.15-3.35, 1 Al 3.22
Tb: 0.6722 0.9249 0.4268  2 Ni 2.84-2.91
Tb: 0.7548 0.2452 0.0000  2 Ni 2.78
Tb: 0.9249 0.6722 0.4268  2 Ni 2.84-2.91
Al: 0.0000 0.0000 0.0000  12 Tb 3.22-3.60
Ni: 0.3053 0.6947 0.5000  8 Tb 2.78-3.08
Ni: 0.6947 0.3053 0.5000  8 Tb 2.78-3.08

Values from the calculation:
Space-group type: C2/m (12)
Calculated total energy: -53.745 eV/cell
Formation energy from the elements: -0.127 eV per atom

=====

[8]
Below is a geometry-optimized TbAl6Ni6 structure, with properties calculated at the PBE-GGA level.

Cell: 6.4958 6.4958 6.4958 Å, 135.21 100.14 96.56°
Closest atoms and distances in Å follow each position.
Sites, in units of the cell vectors:
Tb: 0.0000 0.0000 0.0000  8 Al 2.85-3.00, 4 Ni 3.15
Al: 0.1947 0.6947 0.5000  6 Ni 2.47-2.58
Al: 0.3413 0.0000 0.3413  6 Ni 2.60-2.63, 1 Al 2.65, 1 Tb 2.85
Al: 0.3475 0.3475 0.0000  6 Ni 2.57-2.58, 3 Al 2.64-2.81
Al: 0.6525 0.6525 0.0000  6 Ni 2.57-2.58, 3 Al 2.64-2.81
Al: 0.6587 0.0000 0.6587  6 Ni 2.60-2.63, 1 Al 2.65, 1 Tb 2.85
Al: 0.8053 0.3053 0.5000  6 Ni 2.47-2.58
Ni: 0.0000 0.0000 0.5000  6 Al 2.47-2.60, 4 Ni 2.48-2.49
Ni: 0.0000 0.5000 0.0000  6 Al 2.47-2.60, 4 Ni 2.48-2.49
Ni: 0.2344 0.5000 0.7344  4 Ni 2.49, 6 Al 2.58-2.63
Ni: 0.5000 0.0000 0.0000  6 Al 2.47-2.60, 4 Ni 2.48-2.49
Ni: 0.5000 0.5000 0.5000  6 Al 2.47-2.60, 4 Ni 2.48-2.49
Ni: 0.7656 0.5000 0.2656  4 Ni 2.49, 6 Al 2.58-2.63

Values from the calculation:
Space-group type: Immm (71)
Calculated total energy: -69.415 eV/cell
Formation energy from the elements: -0.588 eV per atom

=====

[9]
Below is a geometry-optimized Tb2Al9Ni3 structure, with properties calculated at the PBE-GGA level.

Cell: 7.4777 7.4777 10.2845 Å, 111.37 111.37 59.68°
Closest atoms and distances in Å follow each position.
Sites, in units of the cell vectors:
Tb: 0.0856 0.2534 0.2500  11 Al 2.97-3.10
Tb: 0.2534 0.0856 0.7500  11 Al 2.97-3.10
Tb: 0.7466 0.9144 0.2500  11 Al 2.97-3.10
Tb: 0.9144 0.7466 0.7500  11 Al 2.97-3.10
Al: 0.0212 0.8586 0.0704  3 Ni 2.51-2.58, 5 Al 2.72-2.81
Al: 0.1414 0.9788 0.4296  3 Ni 2.51-2.58, 5 Al 2.72-2.81
Al: 0.1895 0.3566 0.5686  3 Ni 2.54-2.58, 5 Al 2.72-2.80
Al: 0.2076 0.5815 0.2521  2 Ni 2.50-2.52, 5 Al 2.75-2.78
Al: 0.3145 0.4850 0.9508  3 Ni 2.52-2.58, 3 Al 2.68-2.72
Al: 0.3566 0.1895 0.0686  3 Ni 2.54-2.58, 5 Al 2.72-2.80
Al: 0.3678 0.6322 0.7500  2 Ni 2.51, 4 Al 2.75-2.77
Al: 0.4185 0.7924 0.2479  2 Ni 2.50-2.52, 5 Al 2.75-2.78
Al: 0.4850 0.3145 0.4508  3 Ni 2.52-2.58, 3 Al 2.68-2.72
Al: 0.5150 0.6855 0.5492  3 Ni 2.52-2.58, 3 Al 2.68-2.72
Al: 0.5815 0.2076 0.7521  2 Ni 2.50-2.52, 5 Al 2.75-2.78
Al: 0.6322 0.3678 0.2500  2 Ni 2.51, 4 Al 2.75-2.77
Al: 0.6434 0.8105 0.9314  3 Ni 2.54-2.58, 5 Al 2.72-2.80
Al: 0.6855 0.5150 0.0492  3 Ni 2.52-2.58, 3 Al 2.68-2.72
Al: 0.7924 0.4185 0.7479  2 Ni 2.50-2.52, 5 Al 2.75-2.78
Al: 0.8105 0.6434 0.4314  3 Ni 2.54-2.58, 5 Al 2.72-2.80
Al: 0.8586 0.0212 0.5704  3 Ni 2.51-2.58, 5 Al 2.72-2.81
Al: 0.9788 0.1414 0.9296  3 Ni 2.51-2.58, 5 Al 2.72-2.81
Ni: 0.0000 0.5000 0.0000  8 Al 2.52-2.58
Ni: 0.1597 0.6705 0.4995  8 Al 2.50-2.58
Ni: 0.3295 0.8403 0.0005  8 Al 2.50-2.58
Ni: 0.5000 0.0000 0.5000  8 Al 2.52-2.58
Ni: 0.6705 0.1597 0.9995  8 Al 2.50-2.58
Ni: 0.8403 0.3295 0.5005  8 Al 2.50-2.58

Values from the calculation:
Space-group type: C2/c (15)
Calculated total energy: -136.414 eV/cell
Formation energy from the elements: -0.566 eV per atom

=====

These records have DOS at the Fermi energy values of 0.42, 1.05, 0.43, 0.79, 1.17, 0.85, 1.24, 0.61, 0.37 states/eV per atom, in the order they appear.
These records have total magnetization values of 0.00, 0.00, 0.00, 0.00, 0.00, 0.00, 0.00, 0.00, 0.00 μB/cell, in the order they appear.